Record 1
# Ta2TiTe2S4, optimized geometry, DFT PBE
data_Ta2TiTe2S4
_symmetry_space_group_name_H-M 'P 1'
_symmetry_Int_Tables_number 1
_cell_length_a 3.396
_cell_length_b 3.396
_cell_length_c 21.575
_cell_angle_alpha 90.00
_cell_angle_beta 90.00
_cell_angle_gamma 120.00
loop_
_symmetry_equiv_pos_as_xyz
'x,y,z'
loop_
_atom_site_label
_atom_site_type_symbol
_atom_site_fract_x
_atom_site_fract_y
_atom_site_fract_z
_atom_site_occupancy
Ta1 Ta 0.000 0.000 0.000 1
Ta2 Ta 0.333 0.667 0.313 1
Ti1 Ti 0.333 0.667 0.670 1
Te1 Te 0.000 0.000 0.579 1
Te2 Te 0.000 0.000 0.761 1
S1 S 0.000 0.000 0.241 1
S2 S 0.000 0.000 0.385 1
S3 S 0.333 0.667 0.071 1
S4 S 0.333 0.667 0.928 1
# **Symmetry**: No. 156
# **Fermi-level density of states**: 8.87 states/eV per cell

---

Record 2
# TbNdCdRu, optimized geometry, DFT PBE
data_TbNdCdRu
_symmetry_space_group_name_H-M 'P 1'
_symmetry_Int_Tables_number 1
_cell_length_a 3.526
_cell_length_b 3.526
_cell_length_c 7.821
_cell_angle_alpha 90.00
_cell_angle_beta 90.00
_cell_angle_gamma 90.00
loop_
_symmetry_equiv_pos_as_xyz
'x,y,z'
loop_
_atom_site_label
_atom_site_type_symbol
_atom_site_fract_x
_atom_site_fract_y
_atom_site_fract_z
_atom_site_occupancy
Tb1 Tb 0.000 0.000 0.000 1
Nd1 Nd 0.000 0.000 0.432 1
Cd1 Cd 0.500 0.500 0.728 1
Ru1 Ru 0.500 0.500 0.206 1
# **Distance to the lowest polymorph of the same formula**: 0.0 meV/atom
# **Energy of formation from the pure elements**: -309.8 meV per atom
# **Symmetry**: No. 99
# **Fermi-level density of states**: 3.87 states/eV per cell

---

Record 3
# Er2Pa2S7, optimized geometry, DFT PBE
data_Er2Pa2S7
_symmetry_space_group_name_H-M 'P 1'
_symmetry_Int_Tables_number 1
_cell_length_a 8.406
_cell_length_b 8.406
_cell_length_c 8.406
_cell_angle_alpha 153.40
_cell_angle_beta 67.93
_cell_angle_gamma 118.79
loop_
_symmetry_equiv_pos_as_xyz
'x,y,z'
loop_
_atom_site_label
_atom_site_type_symbol
_atom_site_fract_x
_atom_site_fract_y
_atom_site_fract_z
_atom_site_occupancy
Er1 Er 0.000 0.000 0.000 1
Er2 Er 0.539 0.039 0.500 1
Pa1 Pa 0.476 0.237 0.240 1
Pa2 Pa 0.997 0.237 0.760 1
S1 S 0.186 0.547 0.639 1
S2 S 0.254 0.938 0.316 1
S3 S 0.316 0.316 0.000 1
S4 S 0.611 0.721 0.889 1
S5 S 0.621 0.938 0.684 1
S6 S 0.832 0.721 0.111 1
S7 S 0.908 0.547 0.361 1
# **Distance to the lowest polymorph of the same formula**: 0.0 meV/atom
# **Symmetry**: No. 44
# **Fermi-level density of states**: 5.10 states/eV per cell

---

no.,total energy (eV per atom)
1,-6.896
2,-5.207
3,-6.994